Entry 1:
The following is a PBE-GGA calculation of crystalline Sc2Hg2W at its relaxed geometry, from the Alexandria database.

Properties
symmetry = P4/mbm (127)
energy of formation from the pure elements = 0.25 eV per atom
calculated volume = 20.44 A^3/atom

```
Sc2Hg2W
1.0
7.903 0.000 0.000
0.000 7.903 0.000
0.000 0.000 3.272
Sc Hg W
4 4 2
direct
0.175 0.325 0.000 Sc
0.325 0.825 0.000 Sc
0.675 0.175 0.000 Sc
0.825 0.675 0.000 Sc
0.129 0.629 0.500 Hg
0.371 0.129 0.500 Hg
0.629 0.871 0.500 Hg
0.871 0.371 0.500 Hg
0.000 0.000 0.500 W
0.500 0.500 0.500 W
```



Entry 2:
The following is a PBE-GGA calculation of crystalline GaCu2SnSe at its relaxed geometry, from the Alexandria database.

Properties
symmetry = P4/mmm (123)
calculated volume = 22.60 A^3/atom
ΔE_f (raw) = 0.3995 eV per atom

```
GaCu2SnSe
1.0
4.541 0.000 0.000
0.000 4.541 0.000
0.000 0.000 5.479
Ga Cu Sn Se
1 2 1 1
direct
0.000 0.000 0.000 Ga
0.000 0.500 0.000 Cu
0.500 0.000 0.000 Cu
0.500 0.500 0.500 Sn
0.000 0.000 0.500 Se
```



Entry 3:
The following is a PBE-GGA calculation of crystalline KDyInTe3 at its relaxed geometry, from the Alexandria database.

Properties
symmetry = P2_1/m (11)
calculated volume = 37.18 A^3/atom
ΔE_f (raw) = -0.9699 eV per atom

```
KDyInTe3
1.0
9.288 0.000 0.000
0.000 4.306 0.000
-3.549 0.000 11.155
K Dy In Te
2 2 2 6
direct
0.228 0.250 0.279 K
0.772 0.750 0.721 K
0.362 0.750 0.845 Dy
0.638 0.250 0.155 Dy
0.124 0.250 0.570 In
0.876 0.750 0.430 In
0.110 0.250 0.811 Te
0.344 0.750 0.572 Te
0.393 0.750 0.114 Te
0.607 0.250 0.886 Te
0.656 0.250 0.428 Te
0.890 0.750 0.189 Te
```